# 1
! PBE Cs2PtI4, optimized geometry; values from VASP
&SYSTEM
  ibrav = 0, nat = 14, ntyp = 3
/
ATOMIC_SPECIES
Cs 132.91 Cs.upf
Pt 195.08 Pt.upf
I 126.90 I.upf
CELL_PARAMETERS angstrom
8.4531 0.0000 0.0000
0.0000 8.4531 0.0000
0.0000 0.0000 10.5139
ATOMIC_POSITIONS angstrom
Cs 0.0000 4.2266 2.6285
Cs 0.0000 4.2266 7.8855
Cs 4.2266 0.0000 2.6285
Cs 4.2266 0.0000 7.8855
Pt 0.0000 0.0000 0.0000
Pt 4.2266 4.2266 5.2570
I 1.8705 1.8705 0.0000
I 1.8705 6.5826 0.0000
I 2.3560 2.3560 5.2570
I 2.3560 6.0971 5.2570
I 6.0971 2.3560 5.2570
I 6.0971 6.0971 5.2570
I 6.5826 1.8705 0.0000
I 6.5826 6.5826 0.0000
! - VASP energy (eV/atom) = -2.957
! - total magnetic moment (μB/f.u.) = 0.0
! - crystal system = tetragonal
! - formation energy (no corrections) (eV/atom) = -0.965

# 2
! PBE Cs12Pt5I3, optimized geometry; values from VASP
&SYSTEM
  ibrav = 0, nat = 80, ntyp = 3
/
ATOMIC_SPECIES
Cs 132.91 Cs.upf
Pt 195.08 Pt.upf
I 126.90 I.upf
CELL_PARAMETERS angstrom
-10.5685 10.5685 10.5685
10.5685 -10.5685 10.5685
10.5685 10.5685 -10.5685
ATOMIC_POSITIONS angstrom
Cs 3.1310 -0.6134 1.1805
Cs 12.7217 6.4647 -5.8976
Cs 13.6995 0.6134 1.1805
Cs 12.7217 -4.1038 5.8976
Cs 9.9551 -1.1805 3.1310
Cs 16.4661 -2.1532 4.1038
Cs 1.1805 3.1310 -0.6134
Cs 14.6722 4.6708 -2.1532
Cs 6.4647 5.8976 -2.1532
Cs 9.3880 3.1310 0.6134
Cs -0.6134 1.1805 3.1310
Cs 5.8976 -2.1532 6.4647
Cs 9.9551 9.3880 -3.1310
Cs 5.8976 2.1532 4.1038
Cs 6.4647 -5.8976 12.7217
Cs 9.3880 -3.1310 9.9551
Cs 4.1038 5.8976 2.1532
Cs 11.7489 7.4374 0.6134
Cs 5.8976 12.7217 -4.1038
Cs 9.9551 1.1805 7.4374
Cs 3.1310 9.9551 -1.1805
Cs 12.7217 4.1038 4.6708
Cs 2.1532 4.1038 5.8976
Cs 3.1310 0.6134 9.3880
Cs 7.4374 9.9551 1.1805
Cs 8.4152 6.4647 4.6708
Cs -2.1532 6.4647 5.8976
Cs 7.4374 0.6134 11.7489
Cs 0.6134 9.3880 3.1310
Cs 4.6708 -2.1532 14.6722
Cs -1.1805 3.1310 9.9551
Cs 6.4647 4.6708 8.4152
Cs 1.1805 13.6995 0.6134
Cs 4.1038 16.4661 -2.1532
Cs 4.6708 8.4152 6.4647
Cs 0.6134 1.1805 13.6995
Cs 4.6708 12.7217 4.1038
Cs 11.1818 9.3880 7.4374
Cs 1.1805 7.4374 9.9551
Cs 4.1038 4.6708 12.7217
Cs -4.1038 5.8976 12.7217
Cs 9.3880 7.4374 11.1818
Cs -5.8976 12.7217 6.4647
Cs 0.6134 11.7489 7.4374
Cs -2.1532 14.6722 4.6708
Cs -3.1310 9.9551 9.3880
Cs -2.1532 4.1038 16.4661
Cs 7.4374 11.1818 9.3880
Pt 0.0000 0.0000 0.0000
Pt 5.2842 5.2842 -5.2842
Pt 5.2842 -5.2842 5.2842
Pt 10.5685 0.0000 0.0000
Pt 15.8527 2.6421 0.0000
Pt 10.5685 -5.2842 7.9263
Pt 7.9263 10.5685 -5.2842
Pt 7.9263 0.0000 5.2842
Pt 5.2842 7.9263 0.0000
Pt 10.5685 5.2842 2.6421
Pt -5.2842 5.2842 5.2842
Pt 0.0000 10.5685 0.0000
Pt 0.0000 0.0000 10.5685
Pt 5.2842 5.2842 5.2842
Pt 0.0000 5.2842 7.9263
Pt 5.2842 2.6421 10.5685
Pt 2.6421 10.5685 5.2842
Pt 2.6421 0.0000 15.8527
Pt 0.0000 15.8527 2.6421
Pt -5.2842 7.9263 10.5685
I 5.2842 2.6421 0.0000
I 10.5685 5.2842 -2.6421
I 2.6421 0.0000 5.2842
I 13.2106 0.0000 5.2842
I 0.0000 5.2842 2.6421
I 5.2842 -2.6421 10.5685
I 5.2842 13.2106 0.0000
I 10.5685 5.2842 7.9263
I -2.6421 10.5685 5.2842
I 7.9263 10.5685 5.2842
I 0.0000 5.2842 13.2106
I 5.2842 7.9263 10.5685
! - VASP energy (eV/atom) = -2.616
! - total magnetic moment (μB/f.u.) = 1.6
! - crystal system = cubic
! - formation energy (no corrections) (eV/atom) = -0.361

# 3
! PBE Cs6PtI3, optimized geometry; values from VASP
&SYSTEM
  ibrav = 0, nat = 20, ntyp = 3
/
ATOMIC_SPECIES
Cs 132.91 Cs.upf
Pt 195.08 Pt.upf
I 126.90 I.upf
CELL_PARAMETERS angstrom
7.6048 4.3907 6.0908
-7.6048 4.3907 6.0908
0.0000 -8.7813 6.0908
ATOMIC_POSITIONS angstrom
Cs -6.6104 -1.8855 10.2558
Cs -1.6723 -6.6675 8.0166
Cs -1.6723 -2.1138 7.2104
Cs -4.9381 4.7821 8.0167
Cs -0.9944 2.5052 7.2104
Cs -2.6667 0.3914 11.0620
Cs 2.6667 -0.3914 7.2104
Cs 0.9944 -2.5052 11.0620
Cs 4.9381 -4.7821 10.2558
Cs 1.6723 2.1138 11.0621
Cs 1.6723 6.6676 10.2558
Cs 6.6104 1.8855 8.0166
Pt 0.0000 0.0000 0.0000
Pt 0.0000 0.0000 9.1362
I -4.7252 0.5970 7.6135
I -2.8796 -3.7937 10.6589
I 1.8456 -4.3907 7.6135
I -1.8456 4.3906 10.6589
I 2.8796 3.7937 7.6135
I 4.7252 -0.5970 10.6589
! - VASP energy (eV/atom) = -2.495
! - total magnetic moment (μB/f.u.) = 0.9
! - crystal system = trigonal
! - formation energy (no corrections) (eV/atom) = -0.913

# 4
! PBE CsPt3I, optimized geometry; values from VASP
&SYSTEM
  ibrav = 0, nat = 5, ntyp = 3
/
ATOMIC_SPECIES
Cs 132.91 Cs.upf
Pt 195.08 Pt.upf
I 126.90 I.upf
CELL_PARAMETERS angstrom
5.2958 0.0000 0.0000
0.0000 5.2958 0.0000
0.0000 0.0000 5.2958
ATOMIC_POSITIONS angstrom
Cs 0.0000 0.0000 0.0000
Pt 0.0000 0.0000 2.6479
Pt 0.0000 2.6479 0.0000
Pt 2.6479 0.0000 0.0000
I 2.6479 2.6479 2.6479
! - VASP energy (eV/atom) = -2.168
! - total magnetic moment (μB/f.u.) = 0.0
! - crystal system = cubic
! - formation energy (no corrections) (eV/atom) = 1.937